First-principles (GGA-PBE) data for ZnCd2CoB after structural relaxation, as listed in Alexandria.

Lattice parameters (Å, degrees): 4.998 4.998 3.774 90.00 90.00 90.00
Space group P4/mmm (No. 123)
One atom of each set of equivalent atoms:
Zn  0.000  0.000  0.000 [1 per cell]
Cd  0.000  0.500  0.500 [2 per cell]
Co  0.500  0.500  0.500 [1 per cell]
B  0.500  0.500  0.000 [1 per cell]

Calculated values
Total magnetization: 0.0 μB/f.u.
Energy of formation: 0.579 eV per atom